# 1
Here is Al2InAs after structural relaxation from Alexandria via LeMat-Bulk. Energies are from PBE.

Energy above the lowest structure with this stoichiometry ... 231.5 meV/atom
Total DFT energy (no corrections) ... -3.510 eV per atom
Crystal system ... tetragonal

Lattice parameters (Å, degrees): 4.2835 4.2835 8.7862 90.00 90.00 90.00
Last column: nearest neighbours and their distance in Å.
Space group I-4m2 (No. 119)
Inequivalent atoms, fractional coordinates:
Al 0.0000 0.0000 0.0000 (multiplicity 2)  4 In 3.03, 4 Al 3.07, 4 As 3.07
Al 0.0000 0.5000 0.2500 (multiplicity 2)  4 As 3.03, 4 Al 3.07, 4 In 3.07
In 0.0000 0.0000 0.5000 (multiplicity 2)  8 Al 3.03-3.07, 4 As 3.07
As 0.0000 0.5000 0.7500 (multiplicity 2)  8 Al 3.03-3.07, 4 In 3.07

---

# 2
Here is Li3Tc2 after structural relaxation from Alexandria via LeMat-Bulk. Energies are from PBE.

Energy above the lowest structure with this stoichiometry ... 209.3 meV/atom
Total DFT energy (no corrections) ... -4.772 eV per atom
Crystal system ... trigonal

Lattice parameters (Å, degrees): 4.2771 4.2771 5.3559 90.00 90.00 120.00
Last column: nearest neighbours and their distance in Å.
Space group P-3m1 (No. 164)
Inequivalent atoms, fractional coordinates:
Li 0.0000 0.0000 0.0000 (multiplicity 1)  6 Tc 2.48
Li 0.3333 0.6667 0.4181 (multiplicity 2)  1 Tc 2.48, 3 Li 2.62
Tc 0.3333 0.6667 0.9552 (multiplicity 2)  4 Li 2.48, 3 Tc 2.52

---

# 3
Here is Tb2Ga5PdRu2 after structural relaxation from Alexandria via LeMat-Bulk. Energies are from PBE.

Total DFT energy (no corrections) ... -5.260 eV per atom
Crystal system ... tetragonal

Lattice parameters (Å, degrees): 9.6548 9.6548 3.8841 90.00 90.00 90.00
Last column: nearest neighbours and their distance in Å.
Space group P4/mbm (No. 127)
Inequivalent atoms, fractional coordinates:
Tb 0.1817 0.3183 0.0000 (multiplicity 4)  3 Ru 2.74-2.95
Ga 0.0000 0.5000 0.5000 (multiplicity 2)  4 Ru 2.52
Ga 0.0566 0.8009 0.5000 (multiplicity 8)  2 Ru 2.69, 2 Pd 2.79, 3 Ga 2.83-2.96
Pd 0.0000 0.0000 0.0000 (multiplicity 2)  8 Ga 2.79
Ru 0.1174 0.6174 0.0000 (multiplicity 4)  6 Ga 2.52-2.69, 1 Tb 2.74

---

# 4
Here is NbCo2H2 after structural relaxation from Alexandria via LeMat-Bulk. Energies are from PBE.

Energy above the lowest structure with this stoichiometry ... 65.8 meV/atom
Total DFT energy (no corrections) ... -6.062 eV per atom
Crystal system ... tetragonal

Lattice parameters (Å, degrees): 5.8829 5.8829 2.7310 90.00 90.00 90.00
Last column: nearest neighbours and their distance in Å.
Space group P4/mbm (No. 127)
Inequivalent atoms, fractional coordinates:
Nb 0.0000 0.0000 0.0000 (multiplicity 2)  4 H 2.08
Co 0.1377 0.3623 0.5000 (multiplicity 4)  2 H 1.65
H 0.2492 0.2508 0.0000 (multiplicity 4)  2 Co 1.65

---

Number 1: V 161.2 Å³/cell. Number 2: V 84.9 Å³/cell. Number 3: V 362.1 Å³/cell. Number 4: V 94.5 Å³/cell.